MgOs2Pt after structural relaxation. Source: Alexandria via LeMat-Bulk, functional PBE.

Properties
* DOS(E_F): 0.8012 states/eV/atom
* formation energy from the elements: 0.123 eV/atom
* total magnetic moment: 0.00 μB per cell
* space group: No. 123

a b c (Å): 4.2735 3.7520 3.7520
angles (deg): 90.00 90.00 90.00
Atoms (fractional coordinates):
1 Os 0.0000 0.0000 0.0000
2 Os 0.0000 0.5000 0.5000
3 Pt 0.5000 0.5000 0.0000
4 Mg 0.5000 0.0000 0.5000



ZrAlSi2 after structural relaxation. Source: Alexandria via LeMat-Bulk, functional PBE.

Properties
* DOS(E_F): 0.2491 states/eV/atom
* ΔE_f (raw): -0.18 eV per atom
* total magnetic moment: 0.00 μB per cell
* space group: No. 194

a b c (Å): 4.2179 4.2179 8.7785
angles (deg): 90.00 90.00 120.00
Atoms (fractional coordinates):
1 Al 0.0000 0.0000 0.5000
2 Zr 0.3333 0.6667 0.7500
3 Si 0.3333 0.6667 0.0860
4 Si 0.3333 0.6667 0.4140
5 Si 0.6667 0.3333 0.9140
6 Si 0.6667 0.3333 0.5860
7 Al 0.0000 0.0000 0.0000
8 Zr 0.6667 0.3333 0.2500



ErGaP after structural relaxation. Source: Alexandria via LeMat-Bulk, functional PBE.

Properties
* DOS(E_F): 0.3406 states/eV/atom
* formation energy from the elements: -0.837 eV/atom
* total magnetic moment: 0.00 μB per cell
* space group: No. 63

a b c (Å): 3.7762 4.1672 8.2411
angles (deg): 90.00 103.24 90.00
Atoms (fractional coordinates):
1 Er 0.3527 0.3472 0.7054
2 P 0.8225 0.8473 0.6449
3 P 0.1775 0.3473 0.3551
4 Er 0.6473 0.8472 0.2946
5 Ga 0.9655 0.8466 0.9311
6 Ga 0.0345 0.3466 0.0689



LiAc2In3Pd4 after structural relaxation. Source: Alexandria via LeMat-Bulk, functional PBE.

Properties
* DOS(E_F): 0.5383 states/eV/atom
* formation energy from the elements: -0.636 eV/atom
* total magnetic moment: 0.00 μB per cell
* space group: No. 115

a b c (Å): 4.6342 4.6342 10.9845
angles (deg): 90.00 90.00 90.00
Atoms (fractional coordinates):
1 In 0.0000 0.5000 0.1247
2 Ac 0.5000 0.0000 0.2445
3 Li 0.5000 0.5000 0.5000
4 Pd 0.0000 0.5000 0.3688
5 Pd 0.0000 0.0000 0.0000
6 In 0.5000 0.0000 0.8753
7 Ac 0.0000 0.5000 0.7555
8 In 0.0000 0.0000 0.5000
9 Pd 0.5000 0.5000 0.0000
10 Pd 0.5000 0.0000 0.6312



Mn2NiAg after structural relaxation. Source: Alexandria via LeMat-Bulk, functional PBE.

Properties
* energy above the most stable polymorph in this dataset: 0.3278 eV/atom
* DOS(E_F): 1.2395 states/eV/atom
* formation energy from the elements: 0.476 eV/atom
* total magnetic moment: 0.00 μB per cell
* space group: No. 12

a b c (Å): 4.5574 4.5574 4.4396
angles (deg): 78.44 78.44 35.79
Atoms (fractional coordinates):
1 Mn 0.9894 0.9894 0.0783
2 Mn 0.5106 0.5106 0.4217
3 Ag 0.7500 0.7500 0.7500
4 Ni 0.2500 0.2500 0.2500



LaTc3 after structural relaxation. Source: Alexandria via LeMat-Bulk, functional PBE.

Properties
* DOS(E_F): 2.1657 states/eV/atom
* formation energy from the elements: 0.839 eV/atom
* total magnetic moment: 2.39 μB per cell
* space group: No. 221

a b c (Å): 4.1809 4.1809 4.1809
angles (deg): 90.00 90.00 90.00
Atoms (fractional coordinates):
1 Tc 0.5000 0.5000 0.0000
2 Tc 0.5000 0.0000 0.5000
3 Tc 0.0000 0.5000 0.5000
4 La 0.0000 0.0000 0.0000